The following is a DFT calculation (PBE-GGA) of crystalline Er3TmPb5 at its relaxed geometry.

The space group is P6_3/mcm (No. 193) and the conventional cell measures 9.4735, 9.4735 and 6.5094 Å, with angles of 90.00, 90.00 and 120.00 degrees. The inequivalent atoms are Er at (0.0000, 0.3814, 0.2500), Tm at (0.0000, 0.0000, 0.0000), Pb at (0.0000, 0.2871, 0.7500) and Pb at (0.3333, 0.6667, 0.0000).

For the final energy, the calculation gives -4.4478 eV/atom.

The following is a DFT calculation (PBE-GGA) of crystalline Er4Tm4Pb at its relaxed geometry.

The space group is P-1 (No. 2) and the conventional cell measures 3.5445, 8.0908 and 9.9304 Å, with angles of 76.46, 79.87 and 89.98 degrees. The inequivalent atoms are Er at (0.0689, 0.1976, 0.3704), Er at (0.2870, 0.8608, 0.9245), Tm at (0.1086, 0.7973, 0.2843), Tm at (0.3208, 0.4764, 0.8571) and Pb at (0.5000, 0.5000, 0.5000).

For the final energy, the calculation gives -4.4714 eV/atom. The calculation puts the offset from the most stable computed form at 43.1 meV/atom.

The following is a DFT calculation (PBE-GGA) of crystalline ErTmPb at its relaxed geometry.

The space group is I4mm (No. 107) and the conventional cell measures 3.5617, 3.5617 and 13.7066 Å, with angles of 90.00, 90.00 and 90.00 degrees. The inequivalent atoms are Er at (0.0000, 0.0000, 0.0000), Tm at (0.0000, 0.0000, 0.6757) and Pb at (0.0000, 0.0000, 0.3373).

For the final energy, the calculation gives -4.5426 eV/atom.

The following is a DFT calculation (PBE-GGA) of crystalline ErTm7Pb4 at its relaxed geometry.

The space group is C2/m (No. 12) and the conventional cell measures 12.7861, 5.7235 and 11.3730 Å, with angles of 90.00, 120.40 and 90.00 degrees. The inequivalent atoms are Er at (0.0000, 0.0000, 0.0000), Tm at (0.0000, 0.5000, 0.0000), Tm at (0.0395, 0.0000, 0.3744), Tm at (0.1566, 0.5000, 0.5679), Tm at (0.2148, 0.0000, 0.9013), Pb at (0.0882, 0.5000, 0.7846) and Pb at (0.2116, 0.5000, 0.3215).

For the final energy, the calculation gives -4.2411 eV/atom.

The following is a DFT calculation (PBE-GGA) of crystalline ErTm5Pb5 at its relaxed geometry.

The space group is C2/m (No. 12) and the conventional cell measures 15.5813, 6.2061 and 7.2806 Å, with angles of 90.00, 103.11 and 90.00 degrees. The inequivalent atoms are Er at (0.0000, 0.0000, 0.0000), Tm at (0.0000, 0.0000, 0.5000), Tm at (0.1582, 0.5000, 0.3359), Tm at (0.1637, 0.5000, 0.8328), Pb at (0.0000, 0.5000, 0.0000), Pb at (0.1676, 0.0000, 0.3399) and Pb at (0.1689, 0.0000, 0.8265).

For the final energy, the calculation gives -4.3469 eV/atom.

The following is a DFT calculation (PBE-GGA) of crystalline Er3Tm4Pb at its relaxed geometry.

The space group is Pmn2_1 (No. 31) and the conventional cell measures 11.0792, 6.9746 and 6.0891 Å, with angles of 90.00, 90.00 and 90.00 degrees. The inequivalent atoms are Er at (0.0000, 0.1322, 0.0000), Er at (0.2477, 0.1148, 0.3274), Tm at (0.0000, 0.3717, 0.5259), Tm at (0.0000, 0.6295, 0.0042), Tm at (0.2422, 0.6225, 0.3559) and Pb at (0.0000, 0.8759, 0.5105).

For the final energy, the calculation gives -4.5335 eV/atom. The calculation puts the offset from the most stable computed form at 0.0 meV/atom.

Short version: V = 28.11; 30.26; 28.98; 29.91; 31.17; 29.41 Å³ per atom, in the order given.
Short version: total moment = 0.000; 0.000; 0.000; 0.000; 0.000; 0.000 Bohr magnetons per cell, in the order given.
Short version: N(E_F) = 7.8; 13.5; 1.9; 14.0; 8.0; 9.9 states/eV/f.u., in the order given.